# 1
# Ca2AlGa7 GGA-PBE relaxed
data_Ca2AlGa7
_cell_length_a 4.339
_cell_length_b 4.339
_cell_length_c 10.908
_cell_angle_alpha 90.00
_cell_angle_beta 90.00
_cell_angle_gamma 90.00
_space_group_name_H-M_alt 'P -4 m 2'
_space_group_IT_number 115
_space_group_name_Hall 'P -4 -2'
loop_
_atom_site_label
_atom_site_type_symbol
_atom_site_fract_x
_atom_site_fract_y
_atom_site_fract_z
Ca1 Ca 0.000 0.500 0.249
Al1 Al 0.000 0.000 0.500
Ga1 Ga 0.000 0.000 0.000
Ga2 Ga 0.000 0.500 0.636
Ga3 Ga 0.000 0.500 0.865
Ga4 Ga 0.500 0.500 0.000
Ga5 Ga 0.500 0.500 0.500
# * magnetization: 0.00 μB per cell
# * energy of formation: -347 kJ/mol of formula units
# * N(E_F): 2.842 states/eV/cell



# 2
# ZrCSe2N GGA-PBE relaxed
data_ZrCSe2N
_cell_length_a 5.592
_cell_length_b 5.592
_cell_length_c 2.594
_cell_angle_alpha 90.00
_cell_angle_beta 90.00
_cell_angle_gamma 90.00
_space_group_name_H-M_alt 'P 4/m m m'
_space_group_IT_number 123
_space_group_name_Hall '-P 4 2'
loop_
_atom_site_label
_atom_site_type_symbol
_atom_site_fract_x
_atom_site_fract_y
_atom_site_fract_z
Zr1 Zr 0.000 0.000 0.000
C1 C 0.500 0.500 0.500
Se1 Se 0.000 0.500 0.500
N1 N 0.500 0.500 0.000
# * magnetization: 0.00 μB per cell
# * raw formation energy: 566 meV/atom
# * N(E_F): 2.045 states/eV/cell
# * ΔE to the lowest computed polymorph: 0.0 meV per atom



# 3
# BaLi2CdRh GGA-PBE relaxed
data_BaLi2CdRh
_cell_length_a 4.948
_cell_length_b 4.948
_cell_length_c 5.303
_cell_angle_alpha 90.00
_cell_angle_beta 90.00
_cell_angle_gamma 90.00
_space_group_name_H-M_alt 'P 4/m m m'
_space_group_IT_number 123
_space_group_name_Hall '-P 4 2'
loop_
_atom_site_label
_atom_site_type_symbol
_atom_site_fract_x
_atom_site_fract_y
_atom_site_fract_z
Ba1 Ba 0.000 0.000 0.000
Li1 Li 0.000 0.500 0.500
Cd1 Cd 0.500 0.500 0.000
Rh1 Rh 0.500 0.500 0.500
# * magnetization: 0.00 μB per cell
# * energy of formation: -43 kJ/mol of formula units
# * N(E_F): 2.558 states/eV/cell



# 4
# NbNiMo3 GGA-PBE relaxed
data_NbNiMo3
_cell_length_a 4.475
_cell_length_b 4.475
_cell_length_c 4.475
_cell_angle_alpha 90.00
_cell_angle_beta 90.00
_cell_angle_gamma 90.00
_space_group_name_H-M_alt 'P m -3 m'
_space_group_IT_number 221
_space_group_name_Hall '-P 4 2 3'
loop_
_atom_site_label
_atom_site_type_symbol
_atom_site_fract_x
_atom_site_fract_y
_atom_site_fract_z
Nb1 Nb 0.000 0.000 0.000
Ni1 Ni 0.500 0.500 0.500
Mo1 Mo 0.000 0.500 0.500
# * magnetization: 0.00 μB per cell
# * energy of formation: 590 kJ/mol of formula units
# * N(E_F): 8.736 states/eV/cell
# * ΔE to the lowest computed polymorph: 0.0 meV per atom



# 5
# MnZn3Co GGA-PBE relaxed
data_MnZn3Co
_cell_length_a 4.495
_cell_length_b 4.495
_cell_length_c 4.495
_cell_angle_alpha 90.00
_cell_angle_beta 90.00
_cell_angle_gamma 90.00
_space_group_name_H-M_alt 'P m -3 m'
_space_group_IT_number 221
_space_group_name_Hall '-P 4 2 3'
loop_
_atom_site_label
_atom_site_type_symbol
_atom_site_fract_x
_atom_site_fract_y
_atom_site_fract_z
Mn1 Mn 0.000 0.000 0.000
Zn1 Zn 0.000 0.500 0.500
Co1 Co 0.500 0.500 0.500
# * magnetization: 5.08 μB per cell
# * energy of formation: 270 kJ/mol of formula units
# * N(E_F): 3.257 states/eV/cell
# * ΔE to the lowest computed polymorph: 0.0 meV per atom



# 6
# Pr4PaSe5 GGA-PBE relaxed
data_Pr4PaSe5
_cell_length_a 4.219
_cell_length_b 4.219
_cell_length_c 29.894
_cell_angle_alpha 90.00
_cell_angle_beta 90.00
_cell_angle_gamma 90.00
_space_group_name_H-M_alt 'I 4/m m m'
_space_group_IT_number 139
_space_group_name_Hall '-I 4 2'
loop_
_atom_site_label
_atom_site_type_symbol
_atom_site_fract_x
_atom_site_fract_y
_atom_site_fract_z
Pr1 Pr 0.000 0.000 0.100
Pr2 Pr 0.000 0.000 0.305
Pa1 Pa 0.000 0.000 0.500
Se1 Se 0.000 0.000 0.000
Se2 Se 0.000 0.000 0.202
Se3 Se 0.000 0.000 0.404
# * magnetization: 0.71 μB per cell
# * raw formation energy: -1701 meV/atom
# * N(E_F): 15.678 states/eV/cell



# 7
# Ca5Tb GGA-PBE relaxed
data_Ca5Tb
_cell_length_a 6.170
_cell_length_b 18.573
_cell_length_c 4.100
_cell_angle_alpha 90.00
_cell_angle_beta 90.00
_cell_angle_gamma 90.00
_space_group_name_H-M_alt 'C m m m'
_space_group_IT_number 65
_space_group_name_Hall '-C 2 2'
loop_
_atom_site_label
_atom_site_type_symbol
_atom_site_fract_x
_atom_site_fract_y
_atom_site_fract_z
Ca1 Ca 0.000 0.000 0.000
Ca2 Ca 0.000 0.167 0.500
Ca3 Ca 0.000 0.340 0.000
Tb1 Tb 0.000 0.500 0.500
# * magnetization: 0.00 μB per cell
# * energy of formation: 50 kJ/mol of formula units
# * N(E_F): 17.314 states/eV/cell



# 8
# LaY3HoTh GGA-PBE relaxed
data_LaY3HoTh
_cell_length_a 8.047
_cell_length_b 5.098
_cell_length_c 10.212
_cell_angle_alpha 90.00
_cell_angle_beta 108.97
_cell_angle_gamma 90.00
_space_group_name_H-M_alt 'P 1 21/m 1'
_space_group_IT_number 11
_space_group_name_Hall '-P 2yb'
loop_
_atom_site_label
_atom_site_type_symbol
_atom_site_fract_x
_atom_site_fract_y
_atom_site_fract_z
La1 La 0.174 0.250 0.293
Y1 Y 0.172 0.750 0.545
Y2 Y 0.177 0.750 0.043
Y3 Y 0.178 0.250 0.794
Ho1 Ho 0.499 0.250 0.629
Th1 Th 0.500 0.250 0.122
# * magnetization: 0.00 μB per cell
# * energy of formation: 21 kJ/mol of formula units
# * N(E_F): 20.382 states/eV/cell



# 9
# Rb2YNpSe4 GGA-PBE relaxed
data_Rb2YNpSe4
_cell_length_a 7.432
_cell_length_b 4.281
_cell_length_c 8.360
_cell_angle_alpha 90.00
_cell_angle_beta 107.24
_cell_angle_gamma 90.00
_space_group_name_H-M_alt 'P 1 2/m 1'
_space_group_IT_number 10
_space_group_name_Hall '-P 2y'
loop_
_atom_site_label
_atom_site_type_symbol
_atom_site_fract_x
_atom_site_fract_y
_atom_site_fract_z
Rb1 Rb 0.000 0.000 0.000
Rb2 Rb 0.500 0.500 0.000
Y1 Y 0.000 0.500 0.500
Np1 Np 0.500 0.000 0.500
Se1 Se 0.228 0.000 0.696
Se2 Se 0.266 0.500 0.305
# * magnetization: 4.00 μB per cell
# * raw formation energy: -1482 meV/atom
# * N(E_F): 7.358 states/eV/cell



# 10
# PuFePH2 GGA-PBE relaxed
data_PuFePH2
_cell_length_a 3.760
_cell_length_b 10.116
_cell_length_c 5.521
_cell_angle_alpha 90.00
_cell_angle_beta 90.00
_cell_angle_gamma 90.00
_space_group_name_H-M_alt 'C m c m'
_space_group_IT_number 63
_space_group_name_Hall '-C 2c 2'
loop_
_atom_site_label
_atom_site_type_symbol
_atom_site_fract_x
_atom_site_fract_y
_atom_site_fract_z
Pu1 Pu 0.000 0.212 0.250
Fe1 Fe 0.000 0.500 0.000
P1 P 0.000 0.067 0.750
H1 H 0.000 0.344 0.567
# * magnetization: 21.82 μB per cell
# * N(E_F): 29.178 states/eV/cell
# * E: -7.496 eV per atom



# 11
# AlAgCl2 GGA-PBE relaxed
data_AlAgCl2
_cell_length_a 7.563
_cell_length_b 7.564
_cell_length_c 3.212
_cell_angle_alpha 90.00
_cell_angle_beta 90.22
_cell_angle_gamma 90.00
_space_group_name_H-M_alt 'C 1 2/m 1'
_space_group_IT_number 12
_space_group_name_Hall '-C 2y'
loop_
_atom_site_label
_atom_site_type_symbol
_atom_site_fract_x
_atom_site_fract_y
_atom_site_fract_z
Al1 Al 0.000 0.000 0.000
Ag1 Ag 0.000 0.500 0.000
Cl1 Cl 0.250 0.250 0.000
# * magnetization: 0.00 μB per cell
# * raw formation energy: -312 meV/atom
# * N(E_F): 2.286 states/eV/cell
# * ΔE to the lowest computed polymorph: 434.1 meV per atom



# 12
# InAsIr4 GGA-PBE relaxed
data_InAsIr4
_cell_length_a 7.450
_cell_length_b 7.450
_cell_length_c 7.450
_cell_angle_alpha 90.00
_cell_angle_beta 90.00
_cell_angle_gamma 90.00
_space_group_name_H-M_alt 'F -4 3 m'
_space_group_IT_number 216
_space_group_name_Hall 'F -4 2 3'
loop_
_atom_site_label
_atom_site_type_symbol
_atom_site_fract_x
_atom_site_fract_y
_atom_site_fract_z
In1 In 0.000 0.000 0.000
As1 As 0.250 0.250 0.750
Ir1 Ir 0.125 0.125 0.375
# * magnetization: 0.00 μB per cell
# * energy of formation: 252 kJ/mol of formula units
# * N(E_F): 26.574 states/eV/cell



# 13
# YSc2PbN GGA-PBE relaxed
data_YSc2PbN
_cell_length_a 4.530
_cell_length_b 4.530
_cell_length_c 4.809
_cell_angle_alpha 90.00
_cell_angle_beta 90.00
_cell_angle_gamma 90.00
_space_group_name_H-M_alt 'P 4/m m m'
_space_group_IT_number 123
_space_group_name_Hall '-P 4 2'
loop_
_atom_site_label
_atom_site_type_symbol
_atom_site_fract_x
_atom_site_fract_y
_atom_site_fract_z
Y1 Y 0.000 0.000 0.000
Sc1 Sc 0.000 0.500 0.500
Pb1 Pb 0.500 0.500 0.000
N1 N 0.000 0.000 0.500
# * magnetization: 0.00 μB per cell
# * raw formation energy: -1001 meV/atom
# * N(E_F): 2.919 states/eV/cell